No. 1
The following is a DFT calculation (GGA-PBE) of crystalline YCo2Pt at its relaxed geometry.

Calculated values
Energy above the lowest structure with this stoichiometry   173.7 meV per atom
Fermi-level density of states   1.4159 states/eV/atom
E_form   -0.173 eV/atom

Geometry as CIF:
```
data_YCo2Pt
_chemical_formula_sum 'Y1 Co2 Pt1'
_symmetry_space_group_name_H-M 'P 1'
_symmetry_Int_Tables_number 1
_symmetry_space_group_name_Hall 'P 1'
_cell_length_a 4.893
_cell_length_b 4.893
_cell_length_c 4.893
_cell_angle_alpha 131.91
_cell_angle_beta 131.90
_cell_angle_gamma 70.38
loop_
_atom_site_label
_atom_site_type_symbol
_atom_site_fract_x
_atom_site_fract_y
_atom_site_fract_z
_atom_site_occupancy
Co1 Co 0.000 0.000 0.000 1
Co2 Co 0.500 0.500 0.000 1
Pt1 Pt 0.250 0.750 0.500 1
Y1 Y 0.750 0.250 0.500 1
```

=====

No. 2
The following is a DFT calculation (GGA-PBE) of crystalline YCo2Pt at its relaxed geometry.

Calculated values
Energy above the lowest structure with this stoichiometry   191.9 meV per atom
Fermi-level density of states   1.0660 states/eV/atom
E_form   -0.155 eV/atom

Geometry as CIF:
```
data_YCo2Pt
_chemical_formula_sum 'Y1 Co2 Pt1'
_symmetry_space_group_name_H-M 'P 1'
_symmetry_Int_Tables_number 1
_symmetry_space_group_name_Hall 'P 1'
_cell_length_a 4.030
_cell_length_b 3.189
_cell_length_c 5.317
_cell_angle_alpha 72.57
_cell_angle_beta 90.00
_cell_angle_gamma 90.00
loop_
_atom_site_label
_atom_site_type_symbol
_atom_site_fract_x
_atom_site_fract_y
_atom_site_fract_z
_atom_site_occupancy
Co1 Co 0.000 0.171 0.033 1
Co2 Co 0.500 0.066 0.243 1
Pt1 Pt 0.000 0.463 0.449 1
Y1 Y 0.500 0.800 0.775 1
```

=====

> Number 1 is which compound?

YCo2Pt

=====

> Which formula does entry 2 have?

YCo2Pt